Pm2Pr5DyTh | GGA-PBE | relaxed

Cell and atoms, written as CIF:
```
data_Pm2Pr5DyTh
_chemical_formula_sum 'Pm4 Pr10 Dy2 Th2'
_cell_length_a 11.395
_cell_length_b 11.395
_cell_length_c 10.637
_cell_angle_alpha 90.00
_cell_angle_beta 90.00
_cell_angle_gamma 152.11
_symmetry_space_group_name_H-M 'P 1'
_symmetry_Int_Tables_number 1
_symmetry_space_group_name_Hall 'P 1'
loop_
_atom_site_label
_atom_site_type_symbol
_atom_site_fract_x
_atom_site_fract_y
_atom_site_fract_z
_atom_site_occupancy
Pm1 Pm 0.113 0.887 0.500 1
Pm2 Pm 0.113 0.887 0.992 1
Pm3 Pm 0.887 0.113 0.000 1
Pm4 Pm 0.887 0.113 0.492 1
Pr1 Pr 0.002 0.998 0.246 1
Pr2 Pr 0.277 0.723 0.055 1
Pr3 Pr 0.277 0.723 0.438 1
Pr4 Pr 0.372 0.628 0.746 1
Pr5 Pr 0.500 0.500 0.496 1
Pr6 Pr 0.500 0.500 0.996 1
Pr7 Pr 0.628 0.372 0.246 1
Pr8 Pr 0.723 0.277 0.555 1
Pr9 Pr 0.723 0.277 0.938 1
Pr10 Pr 0.998 0.002 0.746 1
Dy1 Dy 0.398 0.602 0.246 1
Dy2 Dy 0.602 0.398 0.746 1
Th1 Th 0.211 0.789 0.746 1
Th2 Th 0.789 0.211 0.246 1
```

Computed properties:
- DFT formation energy (meV per atom) = 135
- D(E_F) (states/eV/f.u.) = 12.49